1.
Entry from the Alexandria database: an optimized crystal structure of Ac2HoSe3 (GGA-PBE).

Values from the calculation:
space-group type: Fddd, No. 70
magnetic moment: 0.000 μB/atom
formation energy without anion corrections: -1041 kJ/mol of formula units

The structure in extended XYZ format:
```
24
Lattice="0.000 6.132 12.811 4.389 0.000 12.811 4.389 6.132 0.000" Properties=species:S:1:pos:R:3 pbc="T T T"
Ac 1.097 1.533 1.154
Ac 3.291 4.599 3.133
Ac 1.097 1.533 5.251
Ac 5.486 7.664 9.539
Ac 3.291 4.599 16.083
Ac 7.680 10.730 20.371
Ac 5.486 7.664 22.488
Ac 7.680 10.730 24.467
Ho 3.291 4.599 7.476
Ho 3.291 4.599 11.740
Ho 5.486 7.664 13.881
Ho 5.486 7.664 18.146
Se 3.399 1.669 7.361
Se 5.249 4.599 9.608
Se 3.184 1.669 11.855
Se 5.378 4.735 13.766
Se 7.444 7.664 16.013
Se 5.593 4.735 18.261
Se 3.184 7.528 7.361
Se 1.333 4.599 9.608
Se 3.399 7.528 11.855
Se 5.593 10.594 13.766
Se 3.528 7.664 16.013
Se 5.378 10.594 18.261
```

***

2.
Entry from the Alexandria database: an optimized crystal structure of Na3Tl2In5 (GGA-PBE).

Values from the calculation:
ΔE_f: -0.02 eV/atom
space-group type: Ibam, No. 72
magnetic moment: 0.000 μB/atom

The structure in extended XYZ format:
```
20
Lattice="-6.569 7.005 3.302 6.569 -7.005 3.302 6.569 7.005 -3.302" Properties=species:S:1:pos:R:3 pbc="T T T"
Na 8.232 3.247 0.000
Na 0.000 0.000 1.651
Na 1.663 3.757 0.000
Na 4.907 3.247 3.302
Na 0.000 0.000 4.953
Na -1.663 3.757 3.302
Tl 5.047 -4.865 3.302
Tl 5.047 4.865 0.000
Tl 1.523 2.139 3.302
Tl 1.523 11.870 0.000
In 4.792 1.941 0.000
In 3.379 7.005 -1.651
In 3.191 0.000 1.651
In 6.569 0.000 1.651
In 4.792 -1.941 3.302
In 1.777 8.946 0.000
In 0.000 7.005 1.651
In 3.379 7.005 1.651
In 3.191 0.000 4.953
In 1.777 5.063 3.302
```

***

3.
Entry from the Alexandria database: an optimized crystal structure of RbCa2Ru (GGA-PBE).

Values from the calculation:
ΔE_f: 0.56 eV/atom
space-group type: I-42d, No. 122
magnetic moment: 0.000 μB/atom

The structure in extended XYZ format:
```
8
Lattice="-4.079 4.079 5.793 4.079 -4.079 5.793 4.079 4.079 -5.793" Properties=species:S:1:pos:R:3 pbc="T T T"
Rb 0.000 0.000 0.000
Rb 0.000 4.079 2.897
Ca 2.040 -0.008 4.345
Ca 4.071 2.040 1.448
Ca 2.040 4.087 -1.448
Ca 0.008 2.040 7.241
Ru 4.079 0.000 2.897
Ru 0.000 0.000 5.793
```

***

4.
Entry from the Alexandria database: an optimized crystal structure of Nd8Ga2Ir (GGA-PBE).

Values from the calculation:
ΔE_f: -0.34 eV/atom
space-group type: C2/m, No. 12
magnetic moment: 0.000 μB/atom

The structure in extended XYZ format:
```
11
Lattice="9.393 -2.553 0.000 9.393 2.553 0.000 -1.421 0.000 6.717" Properties=species:S:1:pos:R:3 pbc="T T T"
Nd 0.039 0.000 1.890
Nd 2.772 0.000 5.446
Nd 5.763 0.000 3.547
Nd 7.615 0.000 0.351
Nd 9.750 0.000 6.366
Nd 11.602 0.000 3.171
Nd 14.593 0.000 1.272
Nd 17.326 0.000 4.828
Ga 3.188 0.000 1.655
Ga 14.177 0.000 5.062
Ir 8.682 0.000 3.359
```